# KC3S | Alexandria via LeMat-Bulk | PBE | optimized geometry
data_KC3S
_cell_length_a 5.322
_cell_length_b 5.322
_cell_length_c 5.322
_cell_angle_alpha 90.00
_cell_angle_beta 90.00
_cell_angle_gamma 90.00
_space_group_name_H-M_alt 'P m -3 m'
_space_group_IT_number 221
_space_group_name_Hall '-P 4 2 3'
loop_
_atom_site_label
_atom_site_type_symbol
_atom_site_fract_x
_atom_site_fract_y
_atom_site_fract_z
_atom_site_occupancy
K1 K 0.000 0.000 0.000 1
C1 C 0.000 0.000 0.500 1
S1 S 0.500 0.500 0.500 1
# ΔE_f (raw) = 21.90 eV per formula unit

---

# Mn2PPt | Alexandria via LeMat-Bulk | PBE | optimized geometry
data_Mn2PPt
_cell_length_a 3.0802
_cell_length_b 3.0802
_cell_length_c 21.3499
_cell_angle_alpha 90.00
_cell_angle_beta 90.00
_cell_angle_gamma 120.00
_space_group_name_H-M_alt 'R -3 m'
_space_group_IT_number 166
_space_group_name_Hall '-R 3 2"'
loop_
_atom_site_label
_atom_site_type_symbol
_atom_site_fract_x
_atom_site_fract_y
_atom_site_fract_z
_atom_site_occupancy
Mn1 Mn 0.0000 0.0000 0.2395 1
P1 P 0.0000 0.0000 0.5000 1
Pt1 Pt 0.0000 0.0000 0.0000 1
# formation enthalpy at 0 K = -0.13 eV/atom

---

# Pm6Mg2Cd | Alexandria via LeMat-Bulk | PBE | optimized geometry
data_Pm6Mg2Cd
_cell_length_a 16.983
_cell_length_b 3.650
_cell_length_c 11.652
_cell_angle_alpha 90.00
_cell_angle_beta 129.43
_cell_angle_gamma 90.00
_space_group_name_H-M_alt 'C 1 2/m 1'
_space_group_IT_number 12
loop_
_space_group_symop_operation_xyz
'x,y,z'
'-x,-y,-z'
'-x,y,-z'
'x,-y,z'
'x+1/2,y+1/2,z'
'-x+1/2,-y+1/2,-z'
'-x+1/2,y+1/2,-z'
'x+1/2,-y+1/2,z'
loop_
_atom_site_label
_atom_site_type_symbol
_atom_site_fract_x
_atom_site_fract_y
_atom_site_fract_z
_atom_site_occupancy
Pm1 Pm 0.043 0.000 0.187 1
Pm2 Pm 0.180 0.500 0.540 1
Pm3 Pm 0.193 0.500 0.105 1
Mg1 Mg 0.094 0.500 0.750 1
Cd1 Cd 0.000 0.000 0.500 1
# formation enthalpy at 0 K = -0.04 eV/atom